# SrSi2Ni

Crystalline SrSi2Ni at its relaxed geometry (PBE, Alexandria via LeMat-Bulk).

a = 8.7819 Å, b = 8.7819 Å, c = 4.3073 Å
α = 90.00°, β = 90.00°, γ = 153.37°
Element x y z (fractional)
Sr1 0.1450 0.8550 0.0000
Sr2 0.8550 0.1450 0.0000
Si1 0.0000 0.0000 0.5000
Si2 0.2901 0.7099 0.5000
Si3 0.5000 0.5000 0.0000
Si4 0.7099 0.2901 0.5000
Ni1 0.4281 0.5719 0.5000
Ni2 0.5719 0.4281 0.5000

---

# TbTmPdPb

Crystalline TbTmPdPb at its relaxed geometry (PBE, Alexandria via LeMat-Bulk).

a = 5.1899 Å, b = 5.1899 Å, c = 5.1899 Å
α = 60.00°, β = 60.00°, γ = 60.00°
Element x y z (fractional)
Tb1 0.0000 0.0000 0.0000
Tm1 0.5000 0.5000 0.5000
Pd1 0.7500 0.7500 0.7500
Pb1 0.2500 0.2500 0.2500

Values from the calculation:
**ΔE_f**: -59.3 kJ per mole of atoms

---

# Pm2Cu5Rh

Crystalline Pm2Cu5Rh at its relaxed geometry (PBE, Alexandria via LeMat-Bulk).

a = 8.0089 Å, b = 8.0089 Å, c = 8.8500 Å
α = 90.00°, β = 90.00°, γ = 149.96°
Element x y z (fractional)
Pm1 0.0000 0.0000 0.0000
Pm2 0.0000 0.0000 0.5000
Pm3 0.1961 0.8039 0.7500
Pm4 0.8039 0.1961 0.2500
Cu1 0.1830 0.8170 0.1139
Cu2 0.1830 0.8170 0.3861
Cu3 0.3430 0.6570 0.0162
Cu4 0.3430 0.6570 0.4838
Cu5 0.3945 0.6055 0.7500
Cu6 0.6055 0.3945 0.2500
Cu7 0.6570 0.3430 0.5162
Cu8 0.6570 0.3430 0.9838
Cu9 0.8170 0.1830 0.6139
Cu10 0.8170 0.1830 0.8861
Rh1 0.4412 0.5588 0.2500
Rh2 0.5588 0.4412 0.7500

Values from the calculation:
**ΔE_f**: -23.0 kJ per mole of atoms

---

# ZnCN2O

Crystalline ZnCN2O at its relaxed geometry (PBE, Alexandria via LeMat-Bulk).

a = 3.9175 Å, b = 3.9175 Å, c = 3.8960 Å
α = 90.00°, β = 90.00°, γ = 90.00°
Element x y z (fractional)
Zn1 0.0000 0.0000 0.0000
C1 0.5000 0.5000 0.5000
N1 0.0000 0.5000 0.0000
N2 0.5000 0.0000 0.0000
O1 0.0000 0.0000 0.5000

---

# TlRe2PtS

Crystalline TlRe2PtS at its relaxed geometry (PBE, Alexandria via LeMat-Bulk).

a = 5.2015 Å, b = 5.2015 Å, c = 4.8013 Å
α = 90.00°, β = 90.00°, γ = 90.00°
Element x y z (fractional)
Tl1 0.0000 0.0000 0.0000
Re1 0.0000 0.5000 0.0000
Re2 0.5000 0.0000 0.0000
Pt1 0.5000 0.5000 0.5000
S1 0.0000 0.0000 0.5000

---

# BeOs4W

Crystalline BeOs4W at its relaxed geometry (PBE, Alexandria via LeMat-Bulk).

a = 5.0828 Å, b = 5.0828 Å, c = 5.0828 Å
α = 60.00°, β = 60.00°, γ = 60.00°
Element x y z (fractional)
Be1 0.0000 0.0000 0.0000
Os1 0.1230 0.6257 0.6257
Os2 0.6257 0.1230 0.6257
Os3 0.6257 0.6257 0.1230
Os4 0.6257 0.6257 0.6257
W1 0.2500 0.2500 0.2500

Values from the calculation:
**ΔE_f**: 68.0 kJ per mole of atoms

---

# LiHgMo2

Crystalline LiHgMo2 at its relaxed geometry (PBE, Alexandria via LeMat-Bulk).

a = 10.0575 Å, b = 10.0575 Å, c = 10.0575 Å
α = 16.18°, β = 16.18°, γ = 16.18°
Element x y z (fractional)
Li1 0.0000 0.0000 0.0000
Hg1 0.5000 0.5000 0.5000
Mo1 0.2507 0.2507 0.2507
Mo2 0.7493 0.7493 0.7493

Values from the calculation:
**ΔE_f**: 65.4 kJ per mole of atoms

---

# CdInPCl2

Crystalline CdInPCl2 at its relaxed geometry (PBE, Alexandria via LeMat-Bulk).

a = 5.4126 Å, b = 5.4126 Å, c = 5.1605 Å
α = 90.00°, β = 90.00°, γ = 90.00°
Element x y z (fractional)
Cd1 0.0000 0.0000 0.0000
In1 0.5000 0.5000 0.5000
P1 0.0000 0.0000 0.5000
Cl1 0.0000 0.5000 0.0000
Cl2 0.5000 0.0000 0.0000

Values from the calculation:
**ΔE to the lowest computed polymorph**: 0.0 meV/atom

---

VASP energy / eV per formula unit: -20.1; -20.5; -39.2; -18.2; -22.5; -57.4; -21.2; -13.4